Entry 1:
Density functional theory data (PBE) for a relaxed structure of Na2TbSn3S6.

Results
ΔE_f (raw) ... -944 meV per atom

```
data_Na2TbSn3S6
_chemical_formula_sum 'Na4 Tb2 Sn6 S12'
_cell_length_a 6.9993
_cell_length_b 12.2161
_cell_length_c 7.0907
_cell_angle_alpha 90.00
_cell_angle_beta 109.11
_cell_angle_gamma 90.00
_space_group_name_H-M_alt 'C 1 2/m 1'
_space_group_IT_number 12
loop_
_space_group_symop_operation_xyz
'x,y,z'
'-x,-y,-z'
'-x,y,-z'
'x,-y,z'
'x+1/2,y+1/2,z'
'-x+1/2,-y+1/2,-z'
'-x+1/2,y+1/2,-z'
'x+1/2,-y+1/2,z'
loop_
_atom_site_label
_atom_site_type_symbol
_atom_site_fract_x
_atom_site_fract_y
_atom_site_fract_z
Na1 Na 0.0000 0.1686 0.0000
Tb1 Tb 0.0000 0.5000 0.0000
Sn1 Sn 0.0000 0.0000 0.5000
Sn2 Sn 0.0000 0.3368 0.5000
S1 S 0.2307 0.5000 0.7427
S2 S 0.2433 0.3464 0.2448
```



Entry 2:
Density functional theory data (PBE) for a relaxed structure of TbScPt4.

Results
DFT total energy ... -6.90 eV/atom

```
data_TbScPt4
_chemical_formula_sum 'Tb4 Sc4 Pt16'
_cell_length_a 7.6142
_cell_length_b 7.6142
_cell_length_c 7.6142
_cell_angle_alpha 90.00
_cell_angle_beta 90.00
_cell_angle_gamma 90.00
_space_group_name_H-M_alt 'F -4 3 m'
_space_group_IT_number 216
_space_group_name_Hall 'F -4 2 3'
loop_
_atom_site_label
_atom_site_type_symbol
_atom_site_fract_x
_atom_site_fract_y
_atom_site_fract_z
Tb1 Tb 0.0000 0.0000 0.0000
Sc1 Sc 0.2500 0.2500 0.7500
Pt1 Pt 0.1247 0.1247 0.3753
```



Entry 3:
Density functional theory data (PBE) for a relaxed structure of AgBPO2.

Results
ΔE_f (raw) ... 175 meV per atom
E above lowest polymorph ... 0 meV per atom

```
data_AgBPO2
_chemical_formula_sum 'Ag1 B1 P1 O2'
_cell_length_a 3.2563
_cell_length_b 3.2563
_cell_length_c 6.6161
_cell_angle_alpha 90.00
_cell_angle_beta 90.00
_cell_angle_gamma 90.00
_space_group_name_H-M_alt 'P 4/m m m'
_space_group_IT_number 123
_space_group_name_Hall '-P 4 2'
loop_
_atom_site_label
_atom_site_type_symbol
_atom_site_fract_x
_atom_site_fract_y
_atom_site_fract_z
Ag1 Ag 0.0000 0.0000 0.0000
B1 B 0.5000 0.5000 0.5000
P1 P 0.5000 0.5000 0.0000
O1 O 0.0000 0.5000 0.5000
```



Entry 4:
Density functional theory data (PBE) for a relaxed structure of AlGaAg6.

Results
E above lowest polymorph ... 24 meV per atom

```
data_AlGaAg6
_chemical_formula_sum 'Al1 Ga1 Ag6'
_cell_length_a 5.2244
_cell_length_b 5.2629
_cell_length_c 5.2724
_cell_angle_alpha 92.54
_cell_angle_beta 92.43
_cell_angle_gamma 92.26
_space_group_name_H-M_alt 'P -1'
_space_group_IT_number 2
loop_
_space_group_symop_operation_xyz
'x,y,z'
'-x,-y,-z'
loop_
_atom_site_label
_atom_site_type_symbol
_atom_site_fract_x
_atom_site_fract_y
_atom_site_fract_z
Al1 Al 0.0000 0.0000 0.0000
Ga1 Ga 0.5000 0.5000 0.5000
Ag1 Ag 0.0524 0.4449 0.7516
Ag2 Ag 0.2485 0.9429 0.5578
Ag3 Ag 0.4469 0.7518 0.0548
```



The following volume values (in Å³/atom) correspond, in order, to the records above: 23.9, 18.4, 14.0, 18.1.